Arrangement w

The following is a PBE-GGA calculation of a relaxed LiScP2S crystal, from the Alexandria database.

abc: 4.960 4.960 4.959
angles: 90.00 90.00 90.00
Fractional coordinates of all 5 atoms:
1 Sc 0.000 0.000 0.000
2 P 0.000 0.500 0.000
3 P 0.500 0.000 0.000
4 S 0.000 0.000 0.500
5 Li 0.500 0.500 0.500

- crystal system = tetragonal

Arrangement x

The following is a PBE-GGA calculation of a relaxed LiScP2S crystal, from the Alexandria database.

abc: 4.163 4.163 4.904
angles: 90.00 90.00 90.00
Fractional coordinates of all 5 atoms:
1 P 0.500 0.000 0.000
2 S 0.000 0.000 0.500
3 Li 0.000 0.000 0.000
4 Sc 0.500 0.500 0.500
5 P 0.000 0.500 0.000

- crystal system = tetragonal

Quick one: least stable of them? arrangement x

Arrangement w

The following is a PBE-GGA calculation of a relaxed LiSnP2S crystal, from the Alexandria database.

abc: 5.095 5.095 5.171
angles: 90.00 90.00 90.00
Fractional coordinates of all 5 atoms:
1 S 0.000 0.000 0.500
2 P 0.500 0.000 0.000
3 P 0.000 0.500 0.000
4 Sn 0.000 0.000 0.000
5 Li 0.500 0.500 0.500

- crystal system = tetragonal

Arrangement x

The following is a PBE-GGA calculation of a relaxed LiSnP2S crystal, from the Alexandria database.

abc: 4.159 5.980 4.159
angles: 90.00 90.00 90.00
Fractional coordinates of all 5 atoms:
1 Li 0.000 0.000 0.000
2 Sn 0.000 0.500 0.000
3 P 0.500 0.000 0.000
4 S 0.500 0.500 0.500
5 P 0.000 0.000 0.500

- crystal system = tetragonal

Arrangement y

The following is a PBE-GGA calculation of a relaxed LiSnP2S crystal, from the Alexandria database.

abc: 4.345 4.345 5.078
angles: 90.00 90.00 90.00
Fractional coordinates of all 5 atoms:
1 P 0.000 0.500 0.000
2 Sn 0.500 0.500 0.500
3 P 0.500 0.000 0.000
4 Li 0.000 0.000 0.000
5 S 0.000 0.000 0.500

- crystal system = tetragonal

Quick one: least stable of them? arrangement x

Arrangement w

The following is a PBE-GGA calculation of a relaxed LiSnPS2 crystal, from the Alexandria database.

abc: 5.121 5.121 5.048
angles: 90.00 90.00 90.00
Fractional coordinates of all 5 atoms:
1 Li 0.500 0.500 0.500
2 S 0.000 0.500 0.000
3 Sn 0.000 0.000 0.000
4 P 0.000 0.000 0.500
5 S 0.500 0.000 0.000

- crystal system = tetragonal

Arrangement x

The following is a PBE-GGA calculation of a relaxed LiSnPS2 crystal, from the Alexandria database.

abc: 4.767 4.767 4.245
angles: 90.00 90.00 90.00
Fractional coordinates of all 5 atoms:
1 Sn 0.500 0.500 0.500
2 S 0.500 0.000 0.000
3 P 0.000 0.000 0.500
4 Li 0.000 0.000 0.000
5 S 0.000 0.500 0.000

- crystal system = tetragonal

Quick one: least stable of them? arrangement x

Arrangement w

The following is a PBE-GGA calculation of a relaxed SrLiPS2 crystal, from the Alexandria database.

abc: 4.816 4.816 4.343
angles: 90.00 90.00 90.00
Fractional coordinates of all 5 atoms:
1 Li 0.000 0.000 0.000
2 S 0.000 0.500 0.000
3 Sr 0.500 0.500 0.500
4 P 0.000 0.000 0.500
5 S 0.500 0.000 0.000

- crystal system = tetragonal

Arrangement x

The following is a PBE-GGA calculation of a relaxed SrLiPS2 crystal, from the Alexandria database.

abc: 5.651 5.651 5.900
angles: 90.00 90.00 90.00
Fractional coordinates of all 5 atoms:
1 Li 0.500 0.500 0.500
2 S 0.000 0.500 0.000
3 P 0.000 0.000 0.500
4 Sr 0.000 0.000 0.000
5 S 0.500 0.000 0.000

- crystal system = tetragonal

Quick one: least stable of them? arrangement x